# 1
VASP calculation (PBE) on an optimized crystal structure of KHf3Zr.

Properties
Energy above the most stable polymorph in this dataset = 0.0 meV/atom
Size of the total moment = 0.00 μB per formula unit
VASP energy = -33.2 eV/f.u.
Volume = 153.4 Å³ per cell
Symmetry = No. 221

Unit cell a=5.353 b=5.353 c=5.353 alpha=90.00 beta=90.00 gamma=90.00
Fractional positions:
K1 0.000 0.000 0.000
Hf1 0.000 0.500 0.500
Hf2 0.500 0.000 0.500
Hf3 0.500 0.500 0.000
Zr1 0.500 0.500 0.500

# 2
VASP calculation (PBE) on an optimized crystal structure of K2HfZr2.

Properties
Energy above the most stable polymorph in this dataset = 168.4 meV/atom
Size of the total moment = 0.00 μB per formula unit
VASP energy = -20.9 eV/f.u.
Volume = 139.1 Å³ per cell
Symmetry = No. 139

Unit cell a=6.186 b=6.186 c=6.186 alpha=129.02 beta=129.02 gamma=74.99
Fractional positions:
K1 0.129 0.129 0.000
K2 0.871 0.871 0.000
Hf1 0.500 0.500 0.000
Zr1 0.250 0.750 0.500
Zr2 0.750 0.250 0.500